(1)
The following is a DFT calculation (GGA-PBEsol) of an optimized crystal structure of Ta2NiAs.

Results
Calculated volume   59.74 Å³/f.u.
Total moment   0.00 μB/f.u.
Energy of formation from the pure elements   -17.31 kJ per mole of atoms
E_tot   -37.08 eV per cell
Space group   I4/mmm, No. 139

abc: 3.9942 3.9942 4.6903
angles: 115.20 115.20 90.00
Fractional coordinates of all 4 atoms:
1 Ta 0.7500 0.2500 0.5000
2 Ta 0.2500 0.7500 0.5000
3 Ni 0.0000 0.0000 0.0000
4 As 0.5000 0.5000 0.0000


(2)
The following is a DFT calculation (GGA-PBEsol) of an optimized crystal structure of Ta2NiAs.

Results
Calculated volume   60.46 Å³/f.u.
Total moment   0.00 μB/f.u.
Energy of formation from the pure elements   -8.77 kJ per mole of atoms
E_tot   -36.73 eV per cell
Space group   I-4m2, No. 119

abc: 3.7386 3.7386 5.0693
angles: 111.64 111.64 90.00
Fractional coordinates of all 4 atoms:
1 Ta 0.0000 0.0000 0.0000
2 Ni 0.2500 0.7500 0.5000
3 Ta 0.7500 0.2500 0.5000
4 As 0.5000 0.5000 0.0000


(3)
The following is a DFT calculation (GGA-PBEsol) of an optimized crystal structure of Tb2NiAs2.

Results
Calculated volume   100.73 Å³/f.u.
Total moment   0.00 μB/f.u.
Energy of formation from the pure elements   -123.43 kJ per mole of atoms
E_tot   -65.57 eV per cell
Space group   P6_3/mmc, No. 194

abc: 4.0570 4.0570 14.1333
angles: 90.00 90.00 120.00
Fractional coordinates of all 10 atoms:
1 Tb 0.3333 0.6667 0.6172
2 As 0.0000 0.0000 0.5000
3 As 0.3333 0.6667 0.2500
4 Ni 0.0000 0.0000 0.7500
5 Tb 0.6667 0.3333 0.1172
6 Tb 0.6667 0.3333 0.3828
7 Ni 0.0000 0.0000 0.2500
8 As 0.0000 0.0000 0.0000
9 As 0.6667 0.3333 0.7500
10 Tb 0.3333 0.6667 0.8828


(4)
The following is a DFT calculation (GGA-PBEsol) of an optimized crystal structure of Tb2Ni12As7.

Results
Calculated volume   279.46 Å³/f.u.
Total moment   0.00 μB/f.u.
Energy of formation from the pure elements   -56.98 kJ per mole of atoms
E_tot   -132.06 eV per cell
Space group   P-6, No. 174

abc: 3.7898 9.2276 9.2276
angles: 120.00 90.00 90.00
Fractional coordinates of all 21 atoms:
1 As 0.5000 0.3678 0.9269
2 Ni 0.5000 0.2907 0.3818
3 As 0.0000 0.7835 0.0483
4 As 0.0000 0.9517 0.7353
5 Ni 0.5000 0.7800 0.2375
6 As 0.0000 0.2647 0.2165
7 Ni 0.5000 0.4575 0.2200
8 As 0.5000 0.5590 0.6322
9 Ni 0.0000 0.0499 0.2770
10 As 0.5000 0.0731 0.4410
11 Ni 0.0000 0.5165 0.4634
12 Tb 0.5000 0.0000 0.0000
13 Ni 0.5000 0.6182 0.9089
14 Ni 0.0000 0.5366 0.0532
15 Ni 0.0000 0.2272 0.9501
16 As 0.0000 0.6667 0.3333
17 Ni 0.5000 0.7625 0.5425
18 Tb 0.0000 0.3333 0.6667
19 Ni 0.0000 0.7230 0.7728
20 Ni 0.0000 0.9468 0.4835
21 Ni 0.5000 0.0911 0.7093